(1)
{
  "formula": "AgSbPb",
  "functional": "PBE-GGA",
  "state": "optimized geometry",
  "lattice_angstrom": [[-7.168, -0.141, 0.107], [0.123, -4.365, 2.512], [0.029, 4.615, 8.019]],
  "species": ["Pb", "Sb", "Sb", "Pb", "Ag", "Ag", "Pb", "Ag", "Ag", "Sb", "Sb", "Pb"],
  "frac_coords": [[0.989, 0.500, 0.879], [0.073, 0.000, 0.689], [0.927, 0.500, 0.311], [0.011, 0.000, 0.121], [0.649, 0.000, 0.943], [0.351, 0.500, 0.057], [0.511, 0.500, 0.379], [0.851, 0.000, 0.443], [0.149, 0.500, 0.557], [0.573, 0.500, 0.811], [0.427, 0.000, 0.189], [0.489, 0.000, 0.621]],
  "total_energy_ev_per_atom": -3.434,
  "space_group": "Pnma"
}

=====

(2)
{
  "formula": "Mg2AgH6",
  "functional": "PBE-GGA",
  "state": "optimized geometry",
  "lattice_angstrom": [[-0.497, 3.389, -1.274], [-2.461, 0.627, 2.628], [5.445, 2.492, 4.506]],
  "species": ["Mg", "H", "H", "H", "H", "H", "H", "Mg", "Ag"],
  "frac_coords": [[0.500, 0.500, 0.262], [0.500, 0.000, 0.807], [0.000, 0.500, 0.807], [0.500, 0.500, 0.500], [0.500, 0.000, 0.193], [0.000, 0.500, 0.193], [0.500, 0.500, 0.000], [0.500, 0.500, 0.738], [0.000, 0.000, 0.000]],
  "total_energy_ev_per_atom": -2.575,
  "space_group": "P4/mmm"
}

=====

(3)
{
  "formula": "PtS2",
  "functional": "PBE-GGA",
  "state": "optimized geometry",
  "lattice_angstrom": [[3.569, 0.000, 0.000], [-1.785, 3.091, 0.000], [0.000, 0.000, 5.580]],
  "species": ["S", "S", "Pt"],
  "frac_coords": [[0.667, 0.333, 0.222], [0.333, 0.667, 0.778], [0.000, 0.000, 0.000]],
  "total_energy_ev_per_atom": -5.119,
  "space_group": "P-3m1"
}

=====

(4)
{
  "formula": "KBaTmTe3",
  "functional": "PBE-GGA",
  "state": "optimized geometry",
  "lattice_angstrom": [[-6.615, 3.778, 2.866], [4.336, -6.888, 0.022], [6.301, 3.996, 9.277]],
  "species": ["Ba", "Te", "Te", "Ba", "Te", "Tm", "Te", "Te", "K", "Te", "K", "Tm"],
  "frac_coords": [[0.753, 0.247, 0.750], [0.864, 0.136, 0.026], [0.864, 0.136, 0.474], [0.247, 0.753, 0.250], [0.410, 0.590, 0.750], [0.500, 0.500, 0.000], [0.136, 0.864, 0.526], [0.136, 0.864, 0.974], [0.968, 0.032, 0.250], [0.590, 0.410, 0.250], [0.032, 0.968, 0.750], [0.500, 0.500, 0.500]],
  "total_energy_ev_per_atom": -3.994,
  "space_group": "Cmcm"
}

=====

(5)
{
  "formula": "Dy3Mg3IrAu2",
  "functional": "PBE-GGA",
  "state": "optimized geometry",
  "lattice_angstrom": [[-2.156, -2.920, -6.483], [3.095, -4.335, 5.181], [-3.765, -0.775, 1.601]],
  "species": ["Mg", "Dy", "Ir", "Mg", "Mg", "Au", "Dy", "Au", "Dy"],
  "frac_coords": [[0.239, 0.000, 0.500], [0.397, 0.397, 0.000], [0.000, 0.000, 0.000], [0.000, 0.239, 0.500], [0.761, 0.761, 0.500], [0.333, 0.667, 0.500], [0.000, 0.603, 0.000], [0.667, 0.333, 0.500], [0.603, 0.000, 0.000]],
  "total_energy_ev_per_atom": -4.432,
  "space_group": "P-62m"
}

=====

(6)
{
  "formula": "PmAl4Fe",
  "functional": "PBE-GGA",
  "state": "optimized geometry",
  "lattice_angstrom": [[-4.953, 4.397, 3.818], [1.646, -1.182, 3.496], [4.411, 5.235, -0.306]],
  "species": ["Pm", "Al", "Fe", "Al", "Al", "Al", "Al", "Pm", "Al", "Al", "Fe", "Al"],
  "frac_coords": [[0.250, 0.000, 0.621], [0.500, 0.000, 0.000], [0.750, 0.000, 0.811], [0.071, 0.500, 0.303], [0.750, 0.500, 0.037], [0.250, 0.500, 0.963], [0.571, 0.500, 0.697], [0.750, 0.000, 0.379], [0.929, 0.500, 0.697], [0.429, 0.500, 0.303], [0.250, 0.000, 0.189], [0.000, 0.000, 0.000]],
  "total_energy_ev_per_atom": -5.117,
  "space_group": "Pmma"
}

=====

(7)
{
  "formula": "PrCuSi",
  "functional": "PBE-GGA",
  "state": "optimized geometry",
  "lattice_angstrom": [[-0.698, -3.914, -2.343], [-4.233, -1.072, -1.494], [-0.962, 0.151, -4.511]],
  "species": ["Cu", "Si", "Pr"],
  "frac_coords": [[0.250, 0.250, 0.250], [0.000, 0.000, 0.000], [0.750, 0.750, 0.750]],
  "total_energy_ev_per_atom": -4.867,
  "space_group": "F-43m"
}

=====

(8)
{
  "formula": "Li2HfTe3",
  "functional": "PBE-GGA",
  "state": "optimized geometry",
  "lattice_angstrom": [[13.781, 0.000, 0.000], [0.000, 4.107, 0.000], [0.000, 0.000, 11.375]],
  "species": ["Hf", "Hf", "Li", "Te", "Li", "Li", "Li", "Te", "Te", "Te", "Hf", "Te", "Hf", "Li", "Te", "Te", "Li", "Li", "Te", "Li", "Te", "Te", "Te", "Te"],
  "frac_coords": [[0.507, 0.750, 0.668], [0.493, 0.250, 0.332], [0.011, 0.250, 0.586], [0.388, 0.750, 0.873], [0.760, 0.250, 0.539], [0.989, 0.750, 0.414], [0.240, 0.750, 0.461], [0.617, 0.750, 0.441], [0.883, 0.250, 0.941], [0.117, 0.750, 0.059], [0.007, 0.750, 0.832], [0.360, 0.750, 0.258], [0.993, 0.250, 0.168], [0.511, 0.250, 0.914], [0.112, 0.250, 0.373], [0.612, 0.250, 0.127], [0.260, 0.250, 0.961], [0.489, 0.750, 0.086], [0.640, 0.250, 0.742], [0.740, 0.750, 0.039], [0.383, 0.250, 0.559], [0.888, 0.750, 0.627], [0.140, 0.250, 0.758], [0.860, 0.750, 0.242]],
  "total_energy_ev_per_atom": -4.733,
  "space_group": "Pnma"
}

=====

What is the formula in the first record?
AgSbPb